1.
Compound: Lu2ZnOs
Source: the Alexandria database
Functional: PBE-GGA
Structure: optimized geometry

a = 6.7943 Å, b = 6.7943 Å, c = 6.7943 Å
α = 90.00°, β = 90.00°, γ = 90.00°
With the nearest neighbours (Å) after each atom.
Space group Fm-3m (No. 225)
Symmetry-distinct sites (fractional):
Lu 0.2500 0.2500 0.2500 (multiplicity 8)  4 Os 2.94, 4 Zn 2.94
Zn 0.0000 0.0000 0.0000 (multiplicity 4)  8 Lu 2.94
Os 0.0000 0.0000 0.5000 (multiplicity 4)  8 Lu 2.94

Summary:
Energy of formation: -1.5 eV per formula unit
Electronic total energy: -92.01 eV per cell
Polymorph energy (0 for the lowest one): 0.0335 eV/atom
Magnetic moment: 0.00 μB per formula unit


2.
Compound: CuMo2Ru
Source: the Alexandria database
Functional: PBE-GGA
Structure: optimized geometry

a = 3.2719 Å, b = 4.2593 Å, c = 8.4582 Å
α = 90.00°, β = 90.00°, γ = 90.00°
With the nearest neighbours (Å) after each atom.
Space group Cmm2 (No. 35)
Symmetry-distinct sites (fractional):
Cu 0.0000 0.0000 0.0000 (multiplicity 2)  2 Ru 2.61, 2 Mo 2.65, 4 Cu 2.69
Mo 0.0000 0.0000 0.4882 (multiplicity 2)  2 Ru 2.66, 6 Mo 2.69-2.77
Mo 0.0000 0.5000 0.7529 (multiplicity 2)  2 Cu 2.65, 6 Mo 2.69-2.77
Ru 0.0000 0.5000 0.2405 (multiplicity 2)  2 Cu 2.61, 2 Mo 2.66, 4 Ru 2.69

Summary:
Energy of formation: 0.9 eV per formula unit
Electronic total energy: -68.25 eV per cell
Polymorph energy (0 for the lowest one): 0.1161 eV/atom
Magnetic moment: 0.93 μB per formula unit


3.
Compound: ZnCrAs2
Source: the Alexandria database
Functional: PBE-GGA
Structure: optimized geometry

a = 2.9942 Å, b = 2.9942 Å, c = 28.1035 Å
α = 90.00°, β = 90.00°, γ = 120.00°
With the nearest neighbours (Å) after each atom.
Space group R3m (No. 160, hexagonal axes)
Symmetry-distinct sites (fractional):
Zn 0.0000 0.0000 0.0000 (multiplicity 3)  3 As 2.70, 3 Cr 2.71, 6 Zn 2.99
Cr 0.0000 0.0000 0.7407 (multiplicity 3)  3 As 2.56, 3 Zn 2.71
As 0.0000 0.0000 0.2596 (multiplicity 3)  3 Zn 2.70, 6 As 2.99
As 0.0000 0.0000 0.4748 (multiplicity 3)  3 Cr 2.56

Summary:
Energy of formation: 1.2 eV per formula unit
Electronic total energy: -56.89 eV per cell
Magnetic moment: 2.91 μB per formula unit


4.
Compound: Ta2IrPbCl
Source: the Alexandria database
Functional: PBE-GGA
Structure: optimized geometry

a = 4.9913 Å, b = 4.9913 Å, c = 4.7801 Å
α = 90.00°, β = 90.00°, γ = 90.00°
With the nearest neighbours (Å) after each atom.
Space group P4/mmm (No. 123)
Symmetry-distinct sites (fractional):
Ta 0.0000 0.5000 0.0000 (multiplicity 2)  2 Ir 2.50
Ir 0.0000 0.0000 0.0000 (multiplicity 1)  2 Cl 2.39, 4 Ta 2.50
Pb 0.5000 0.5000 0.5000 (multiplicity 1)  8 Ta 3.46, 4 Cl 3.53
Cl 0.0000 0.0000 0.5000 (multiplicity 1)  2 Ir 2.39

Summary:
Electronic total energy: -32.89 eV per cell
Magnetic moment: 0.00 μB per formula unit


5.
Compound: YSi2Hg
Source: the Alexandria database
Functional: PBE-GGA
Structure: optimized geometry

a = 4.3543 Å, b = 3.8039 Å, c = 5.4973 Å
α = 90.00°, β = 110.60°, γ = 90.00°
With the nearest neighbours (Å) after each atom.
Space group Pm (No. 6)
Symmetry-distinct sites (fractional):
Y 0.0000 0.0000 0.0000 (multiplicity 1)  6 Si 2.91-3.02
Si 0.5489 0.5000 0.1382 (multiplicity 1)  2 Si 2.46, 1 Hg 2.71
Si 0.7601 0.0000 0.4323 (multiplicity 1)  2 Si 2.46
Hg 0.3579 0.5000 0.6133 (multiplicity 1)  4 Si 2.71-3.01

Summary:
Electronic total energy: -18.33 eV per cell
Magnetic moment: 0.00 μB per formula unit


6.
Compound: ScFeH2
Source: the Alexandria database
Functional: PBE-GGA
Structure: optimized geometry

a = 4.0565 Å, b = 4.0565 Å, c = 9.1595 Å
α = 90.00°, β = 90.00°, γ = 90.00°
With the nearest neighbours (Å) after each atom.
Space group I-42d (No. 122)
Symmetry-distinct sites (fractional):
Sc 0.0000 0.0000 0.0000 (multiplicity 4)  4 H 2.04
Fe 0.0000 0.0000 0.5000 (multiplicity 4)  4 H 1.68
H 0.1687 0.2500 0.6250 (multiplicity 8)  2 Fe 1.68

Summary:
Electronic total energy: -89.46 eV per cell
Polymorph energy (0 for the lowest one): 0.0000 eV/atom
Magnetic moment: 0.99 μB per formula unit


7.
Compound: PrZn6Ir4
Source: the Alexandria database
Functional: PBE-GGA
Structure: optimized geometry

a = 6.6094 Å, b = 6.6094 Å, c = 9.4613 Å
α = 90.00°, β = 90.00°, γ = 90.00°
With the nearest neighbours (Å) after each atom.
Space group I-42m (No. 121)
Symmetry-distinct sites (fractional):
Pr 0.0000 0.0000 0.0000 (multiplicity 2)  4 Ir 3.19, 12 Zn 3.30-3.48
Zn 0.0000 0.5000 0.0000 (multiplicity 4)  4 Ir 2.57
Zn 0.1899 0.1899 0.7045 (multiplicity 8)  4 Ir 2.45-2.68
Ir 0.1676 0.1676 0.4223 (multiplicity 8)  6 Zn 2.45-2.68, 2 Ir 2.66

Summary:
Energy of formation: -0.9 eV per formula unit
Electronic total energy: -97.44 eV per cell
Magnetic moment: 0.00 μB per formula unit


8.
Compound: La12Pm5Sm
Source: the Alexandria database
Functional: PBE-GGA
Structure: optimized geometry

a = 19.2497 Å, b = 11.0776 Å, c = 6.4259 Å
α = 90.00°, β = 109.30°, γ = 90.00°
With the nearest neighbours (Å) after each atom.
Space group C2/m (No. 12)
Symmetry-distinct sites (fractional):
La 0.0000 0.1692 0.0000 (multiplicity 4)  1 Sm 3.66, 7 La 3.68-3.75, 4 Pm 3.72
La 0.0000 0.3314 0.5000 (multiplicity 4)  3 Pm 3.67-3.72, 7 La 3.68-3.73, 2 Sm 3.72
La 0.1666 0.1690 0.8335 (multiplicity 8)  5 Pm 3.67-3.72, 7 La 3.68-3.74
La 0.1666 0.3312 0.3336 (multiplicity 8)  4 Pm 3.67-3.72, 7 La 3.68-3.74, 1 Sm 3.72
Pm 0.0000 0.0000 0.5000 (multiplicity 2)  10 La 3.67-3.72, 2 Pm 3.70
Pm 0.1667 0.0000 0.3332 (multiplicity 4)  10 La 3.67-3.72, 2 Pm 3.70
Pm 0.1666 0.5000 0.8336 (multiplicity 4)  10 La 3.67-3.72, 1 Sm 3.70, 1 Pm 3.70
Sm 0.0000 0.5000 0.0000 (multiplicity 2)  10 La 3.66-3.72, 2 Pm 3.70

Summary:
Energy of formation: 0.3 eV per formula unit
Electronic total energy: -174.57 eV per cell
Magnetic moment: 0.00 μB per formula unit